(i)
Here is a relaxed In2Te2Pb crystal from the Alexandria database. Energies are from GGA-PBE.

Calculated values
**Total magnetic moment**: 0.0000 μB/atom
**Crystal system**: tetragonal

Cell and atoms, written as extended XYZ:
```
5
Lattice="-2.8972 2.5600 1.9552 1.4898 -1.2666 3.8661 4.9375 7.0812 2.8447" Properties=species:S:1:pos:R:3 pbc="T T T"
Te 3.1432 6.4840 5.7681
Te 0.3868 1.8906 2.8979
In 2.8618 3.2307 4.8107
Pb 0.0000 0.0000 0.0000
In 0.6683 5.1440 3.8553
```

=====

(ii)
Here is a relaxed In2Te2Pb crystal from the Alexandria database. Energies are from GGA-PBE.

Calculated values
**Total magnetic moment**: 0.0000 μB/atom
**Crystal system**: tetragonal

Cell and atoms, written as extended XYZ:
```
10
Lattice="8.7740 0.0000 0.0000 0.0000 8.7740 0.0000 0.0000 0.0000 4.1572" Properties=species:S:1:pos:R:3 pbc="T T T"
Te 5.8514 1.4644 0.0000
Te 1.4644 2.9225 0.0000
In 1.2136 5.6006 2.0786
Te 2.9225 7.3095 0.0000
Pb 0.0000 0.0000 0.0000
In 5.6006 7.5603 2.0786
In 7.5603 3.1734 2.0786
Pb 4.3870 4.3870 0.0000
In 3.1734 1.2136 2.0786
Te 7.3095 5.8514 0.0000
```

=====

Which is most stable, and by how much? (ii), by 0.051 eV/atom.